1.
Here is Cu2PdIO after structural relaxation from Alexandria. Energies are from PBE.

Lattice parameters (Å, degrees): 4.8350 5.0396 4.8350 90.00 90.00 90.00
With the nearest neighbours (Å) after each atom.
Fractional positions:
Pd 0.0000 0.0000 0.0000  4 Cu 2.42, 2 I 2.52
Cu 0.5000 0.0000 0.0000  2 Pd 2.42
I 0.0000 0.5000 0.0000  2 Pd 2.52
O 0.5000 0.5000 0.5000  4 I 3.42, 8 Cu 3.49
Cu 0.0000 0.0000 0.5000  2 Pd 2.42

**ΔE_f (raw)**: 97.8 kJ per mole of atoms
**Calculated volume**: 118 Å³/f.u.
**Magnetization**: 1.51 μB/f.u.
**Mass density**: 5305 kg/m3

=====

2.
Here is RePdRu3 after structural relaxation from Alexandria. Energies are from PBE.

Lattice parameters (Å, degrees): 4.6521 4.6521 4.6521 90.00 90.00 90.00
With the nearest neighbours (Å) after each atom.
Fractional positions:
Ru 0.5000 0.0000 0.0000  2 Re 2.33
Re 0.0000 0.0000 0.0000  6 Ru 2.33
Ru 0.0000 0.5000 0.0000  2 Re 2.33
Pd 0.5000 0.5000 0.5000  12 Ru 3.29
Ru 0.0000 0.0000 0.5000  2 Re 2.33

**Calculated volume**: 101 Å³/f.u.
**Magnetization**: 2.67 μB/f.u.
**Calculated formation energy**: 1.653 eV per atom
**Mass density**: 9827 kg/m3

=====

3.
Here is NaYMg2Ir after structural relaxation from Alexandria. Energies are from PBE.

Lattice parameters (Å, degrees): 4.9613 5.2471 4.9613 90.00 90.00 90.00
With the nearest neighbours (Å) after each atom.
Fractional positions:
Na 0.0000 0.5000 0.0000  2 Ir 2.62
Mg 0.0000 0.0000 0.5000  2 Ir 2.48
Y 0.5000 0.5000 0.5000  4 Na 3.51, 8 Mg 3.61
Ir 0.0000 0.0000 0.0000  4 Mg 2.48, 2 Na 2.62
Mg 0.5000 0.0000 0.0000  2 Ir 2.48

**Calculated volume**: 129 Å³/f.u.
**Polymorph energy (0 for the lowest one)**: 448 meV/atom
**Magnetization**: 0.15 μB/f.u.
**Calculated formation energy**: 0.276 eV per atom
**Mass density**: 4535 kg/m3

=====

4.
Here is TaCl5 after structural relaxation from Alexandria. Energies are from PBE.

Lattice parameters (Å, degrees): 7.9652 7.9652 3.0017 90.00 90.00 120.00
With the nearest neighbours (Å) after each atom.
Fractional positions:
Cl 0.3333 0.6667 0.5000  2 Cl 3.00
Cl 0.2378 0.2378 0.0000  2 Ta 2.42
Cl 0.6667 0.3333 0.5000  2 Cl 3.00
Cl 0.7622 0.0000 0.0000  2 Ta 2.42
Ta 0.0000 0.0000 0.5000  6 Cl 2.42
Cl 0.0000 0.7622 0.0000  2 Ta 2.42

**ΔE_f (raw)**: -61.4 kJ per mole of atoms
**Calculated volume**: 165 Å³/f.u.
**Polymorph energy (0 for the lowest one)**: 709 meV/atom
**Magnetization**: 0.21 μB/f.u.
**Mass density**: 3607 kg/m3

=====

5.
Here is Ba2FeAg after structural relaxation from Alexandria. Energies are from PBE.

Lattice parameters (Å, degrees): 5.7082 5.7082 5.7082 60.00 60.00 60.00
With the nearest neighbours (Å) after each atom.
Fractional positions:
Ba 0.7500 0.7500 0.7500  4 Ag 3.50, 4 Fe 3.50
Ba 0.2500 0.2500 0.2500  4 Ag 3.50, 4 Fe 3.50
Ag 0.5000 0.5000 0.5000  8 Ba 3.50
Fe 0.0000 0.0000 0.0000  8 Ba 3.50

**Calculated volume**: 132 Å³/f.u.
**Polymorph energy (0 for the lowest one)**: 153 meV/atom
**Magnetization**: 2.24 μB/f.u.
**Calculated formation energy**: 0.377 eV per atom
**Mass density**: 5535 kg/m3

=====

6.
Here is AlCdRu2 after structural relaxation from Alexandria. Energies are from PBE.

Lattice parameters (Å, degrees): 3.0579 3.0579 6.5647 90.00 90.00 90.00
With the nearest neighbours (Å) after each atom.
Fractional positions:
Ru 0.0000 0.0000 0.4633  4 Al 2.58, 1 Ru 2.80, 4 Cd 2.87
Cd 0.5000 0.5000 0.7500  8 Ru 2.87, 4 Cd 3.06
Ru 0.0000 0.0000 0.0367  4 Al 2.58, 1 Ru 2.80, 4 Cd 2.87
Al 0.5000 0.5000 0.2500  8 Ru 2.58

**Calculated volume**: 61 Å³/f.u.
**Polymorph energy (0 for the lowest one)**: 0 meV/atom
**Magnetization**: 0.64 μB/f.u.
**Calculated formation energy**: -0.076 eV per atom
**Mass density**: 9239 kg/m3

=====

7.
Here is TeMoI3 after structural relaxation from Alexandria. Energies are from PBE.

Lattice parameters (Å, degrees): 5.4326 5.4326 5.4326 90.00 90.00 90.00
With the nearest neighbours (Å) after each atom.
Fractional positions:
Te 0.5000 0.5000 0.5000  12 I 3.84
I 0.0000 0.0000 0.5000  2 Mo 2.72
I 0.0000 0.5000 0.0000  2 Mo 2.72
I 0.5000 0.0000 0.0000  2 Mo 2.72
Mo 0.0000 0.0000 0.0000  6 I 2.72

**ΔE_f (raw)**: 49.9 kJ per mole of atoms
**Calculated volume**: 160 Å³/f.u.
**Polymorph energy (0 for the lowest one)**: 0 meV/atom
**Magnetization**: 0.00 μB/f.u.
**Mass density**: 6258 kg/m3

=====

8.
Here is CoCu2As2 after structural relaxation from Alexandria. Energies are from PBE.

Lattice parameters (Å, degrees): 5.9602 5.9602 4.3066 90.00 90.00 90.00
With the nearest neighbours (Å) after each atom.
Fractional positions:
Co 0.5000 0.5000 0.0000  4 As 2.29
Co 0.0000 0.0000 0.0000  4 As 2.29
Cu 0.2684 0.2316 0.5000  2 As 2.39
As 0.3558 0.8558 0.0000  2 Co 2.29, 2 Cu 2.39, 1 As 2.43
As 0.6442 0.1442 0.0000  2 Co 2.29, 2 Cu 2.39, 1 As 2.43
Cu 0.2316 0.7316 0.5000  2 As 2.39
As 0.8558 0.6442 0.0000  2 Co 2.29, 2 Cu 2.39, 1 As 2.43
Cu 0.7316 0.7684 0.5000  2 As 2.39
As 0.1442 0.3558 0.0000  2 Co 2.29, 2 Cu 2.39, 1 As 2.43
Cu 0.7684 0.2684 0.5000  2 As 2.39

**Calculated volume**: 76 Å³/f.u.
**Magnetization**: 0.00 μB/f.u.
**Calculated formation energy**: 0.115 eV per atom
**Mass density**: 7291 kg/m3